DyFeSi2Os: relaxed, PBE.

```
DyFeSi2Os
1.0
4.0325 0.0000 0.0000
0.0000 4.0325 0.0000
0.0000 0.0000 9.8028
Dy Fe Si Os
2 2 4 2
Cartesian
0.0000 0.0000 0.0000
2.0162 2.0162 4.9014
0.0000 2.0162 7.3521
2.0162 0.0000 2.4507
0.0000 0.0000 3.6612
0.0000 0.0000 6.1416
2.0162 2.0162 1.2402
2.0162 2.0162 8.5626
0.0000 2.0162 2.4507
2.0162 0.0000 7.3521
```

crystal system: tetragonal
VASP energy: -38.44 eV per formula unit
space group: I-4m2

---

DyFe8P2: relaxed, PBE.

```
DyFe8P2
1.0
5.2014 -1.8646 0.0000
5.2014 1.8646 0.0000
-4.8272 0.0000 7.0560
Dy Fe P
1 8 2
Cartesian
0.0000 0.0000 0.0000
-1.4064 0.0000 2.7241
-1.8365 0.0000 6.1765
0.1447 0.0000 4.5752
1.7230 0.0000 2.6845
3.8527 0.0000 4.3715
5.4310 0.0000 2.4808
7.4122 0.0000 0.8795
6.9821 0.0000 4.3319
3.4660 0.0000 1.2963
2.1097 0.0000 5.7597
```

crystal system: monoclinic
VASP energy: -85.63 eV per formula unit
space group: C2/m

---

Dy2Fe12P7: relaxed, PBE.

```
Dy2Fe12P7
1.0
8.9120 0.0000 0.0000
-4.4560 7.7181 0.0000
0.0000 0.0000 3.6304
Dy Fe P
2 12 7
Cartesian
0.0000 0.0000 0.0000
0.0000 5.1454 1.8152
-2.9641 5.9111 1.8152
-0.9212 3.0106 0.0000
0.8189 2.1955 1.8152
-1.3881 7.0105 0.0000
2.5529 1.6525 0.0000
4.3630 0.9506 1.8152
3.0978 3.4643 1.8152
2.3093 5.4149 0.0000
2.1452 7.3295 1.8152
6.2044 1.3846 0.0000
4.6107 4.6809 0.0000
5.9073 3.3032 1.8152
-2.1300 4.8814 0.0000
2.1856 0.3388 1.8152
1.2936 3.4327 0.0000
0.8364 7.1220 0.0000
4.4560 2.5727 0.0000
3.6566 5.6559 1.8152
7.5258 1.7234 1.8152
```

crystal system: hexagonal
VASP energy: -161.82 eV per formula unit
space group: P-6

---

DyFe2SiP: relaxed, PBE.

```
DyFe2SiP
1.0
3.8759 0.0000 0.0000
0.0000 3.8759 0.0000
0.0000 0.0000 9.4432
Dy Fe Si P
2 4 2 2
Cartesian
0.0000 0.0000 0.0000
1.9379 1.9379 4.7216
0.0000 1.9379 2.4034
0.0000 1.9379 7.1250
1.9379 0.0000 2.4034
1.9379 0.0000 7.1250
0.0000 0.0000 5.9639
1.9379 1.9379 1.2423
0.0000 0.0000 3.4635
1.9379 1.9379 8.1851
```

crystal system: tetragonal
VASP energy: -36.47 eV per formula unit
space group: I4mm

---

DyPaFe: relaxed, PBE.

```
DyPaFe
1.0
6.5080 0.0000 0.0000
0.0000 6.5080 0.0000
0.0000 0.0000 6.5080
Dy Pa Fe
4 4 4
Cartesian
0.0000 0.0000 0.0000
0.0000 3.2540 3.2540
3.2540 0.0000 3.2540
3.2540 3.2540 0.0000
0.0000 0.0000 3.2540
0.0000 3.2540 0.0000
3.2540 0.0000 0.0000
3.2540 3.2540 3.2540
1.6270 1.6270 1.6270
1.6270 4.8810 4.8810
4.8810 1.6270 4.8810
4.8810 4.8810 1.6270
```

crystal system: cubic
excess energy over the best structure of this formula in the dataset: 0 meV per atom
space group: F-43m
energy of formation from the pure elements: 0.26 eV per atom

---

PmDyFe: relaxed, PBE.

```
PmDyFe
1.0
6.6680 0.0000 0.0000
0.0000 6.6680 0.0000
0.0000 0.0000 6.6680
Pm Dy Fe
4 4 4
Cartesian
0.0000 0.0000 0.0000
0.0000 3.3340 3.3340
3.3340 0.0000 3.3340
3.3340 3.3340 0.0000
0.0000 0.0000 3.3340
0.0000 3.3340 0.0000
3.3340 0.0000 0.0000
3.3340 3.3340 3.3340
1.6670 1.6670 5.0010
1.6670 5.0010 1.6670
5.0010 1.6670 1.6670
5.0010 5.0010 5.0010
```

crystal system: cubic
excess energy over the best structure of this formula in the dataset: 0 meV per atom
space group: F-43m
energy of formation from the pure elements: 0.24 eV per atom

---

PrDyFe: relaxed, PBE.

```
PrDyFe
1.0
6.7236 0.0000 0.0000
0.0000 6.7236 0.0000
0.0000 0.0000 6.7236
Pr Dy Fe
4 4 4
Cartesian
0.0000 0.0000 0.0000
0.0000 3.3618 3.3618
3.3618 0.0000 3.3618
3.3618 3.3618 0.0000
0.0000 0.0000 3.3618
0.0000 3.3618 0.0000
3.3618 0.0000 0.0000
3.3618 3.3618 3.3618
1.6809 1.6809 5.0427
1.6809 5.0427 1.6809
5.0427 1.6809 1.6809
5.0427 5.0427 5.0427
```

crystal system: cubic
excess energy over the best structure of this formula in the dataset: 0 meV per atom
space group: F-43m
energy of formation from the pure elements: 0.26 eV per atom

---

PrDyFe2Si2: relaxed, PBE.

```
PrDyFe2Si2
1.0
4.0439 0.0000 0.0000
0.0000 4.0439 0.0000
0.0000 0.0000 6.6885
Pr Dy Fe Si
1 1 2 2
Cartesian
0.0000 0.0000 0.0000
2.0219 2.0219 4.2537
0.0000 2.0219 2.2500
2.0219 0.0000 2.2500
0.0000 0.0000 3.3685
2.0219 2.0219 1.0931
```

crystal system: tetragonal
VASP energy: -40.40 eV per formula unit
space group: P4mm

---

| no. | total moment (μB per cell) |
| --- | --- |
| 1 | 1.74 |
| 2 | 14.14 |
| 3 | 0.00 |
| 4 | 0.02 |
| 5 | 2.05 |
| 6 | 1.05 |
| 7 | 1.31 |
| 8 | 0.00 |